Density functional theory data (PBE-GGA) for crystalline NdTm3Sc3 at its relaxed geometry.

```
NdTm3Sc3
1.0
5.187 2.995 2.233
-5.187 2.995 2.233
0.000 -5.990 2.233
Nd Tm Sc
1 3 3
direct
0.000 0.000 0.000
0.055 0.468 0.468
0.468 0.055 0.468
0.468 0.468 0.055
0.497 0.964 0.964
0.964 0.497 0.964
0.964 0.964 0.497
```

Computed properties:
space group	R3m
total moment	0.0	μB per formula unit
crystal system	trigonal
DOS at the Fermi energy	11.11	states/eV/f.u.
E_form	286	meV/atom



Density functional theory data (PBE-GGA) for crystalline Ho4CuSeS2 at its relaxed geometry.

```
Ho4CuSeS2
1.0
6.906 0.000 0.000
0.000 3.875 0.000
-2.196 0.000 6.583
Ho Cu Se S
4 1 1 2
direct
0.240 0.000 0.239
0.244 0.500 0.752
0.756 0.500 0.248
0.760 0.000 0.761
0.000 0.000 0.500
0.500 0.500 0.500
0.000 0.500 0.000
0.500 0.000 0.000
```

Computed properties:
space group	P2/m
uncorrected formation energy	-11.68	eV per formula unit
total moment	0.0	μB per formula unit
crystal system	monoclinic
DOS at the Fermi energy	4.92	states/eV/f.u.



Density functional theory data (PBE-GGA) for crystalline Ta2CuSe at its relaxed geometry.

```
Ta2CuSe
1.0
3.854 0.000 0.000
0.000 3.854 0.000
0.000 0.000 8.867
Ta Cu Se
4 2 2
direct
0.000 0.000 0.000
0.000 0.500 0.250
0.500 0.000 0.750
0.500 0.500 0.500
0.000 0.500 0.750
0.500 0.000 0.250
0.000 0.000 0.500
0.500 0.500 0.000
```

Computed properties:
space group	I-4m2
uncorrected formation energy	1.17	eV per formula unit
total moment	0.0	μB per formula unit
crystal system	tetragonal
DOS at the Fermi energy	3.75	states/eV/f.u.



Density functional theory data (PBE-GGA) for crystalline SbRuPb2 at its relaxed geometry.

```
SbRuPb2
1.0
4.993 0.000 0.000
0.000 3.819 0.000
-2.470 0.000 6.088
Sb Ru Pb
1 1 2
direct
0.000 0.000 0.000
0.500 0.000 0.000
0.334 0.500 0.668
0.666 0.500 0.332
```

Computed properties:
space group	P2/m
uncorrected formation energy	0.86	eV per formula unit
total moment	0.0	μB per formula unit
crystal system	monoclinic
DOS at the Fermi energy	1.17	states/eV/f.u.



Density functional theory data (PBE-GGA) for crystalline PaSe6O12 at its relaxed geometry.

```
PaSe6O12
1.0
4.342 2.507 5.673
-4.342 2.507 5.673
0.000 -5.014 5.673
Pa Se O
1 6 12
direct
0.000 0.000 0.000
0.006 0.481 0.290
0.290 0.006 0.481
0.481 0.290 0.006
0.519 0.710 0.994
0.710 0.994 0.519
0.994 0.519 0.710
0.070 0.281 0.855
0.145 0.930 0.719
0.160 0.551 0.499
0.281 0.855 0.070
0.449 0.501 0.840
0.499 0.160 0.551
0.501 0.840 0.449
0.551 0.499 0.160
0.719 0.145 0.930
0.840 0.449 0.501
0.855 0.070 0.281
0.930 0.719 0.145
```

Computed properties:
space group	R-3
uncorrected formation energy	-19.04	eV per formula unit
total moment	0.7	μB per formula unit
crystal system	trigonal
DOS at the Fermi energy	11.15	states/eV/f.u.



Density functional theory data (PBE-GGA) for crystalline MgAg3 at its relaxed geometry.

```
MgAg3
1.0
7.980 0.000 0.000
-3.990 6.911 0.000
0.000 0.000 8.288
Mg Ag
6 18
direct
0.000 0.359 0.000
0.000 0.641 0.500
0.359 0.000 0.000
0.359 0.359 0.500
0.641 0.000 0.500
0.641 0.641 0.000
0.000 0.000 0.436
0.000 0.000 0.936
0.000 0.285 0.669
0.000 0.341 0.335
0.000 0.659 0.835
0.000 0.715 0.169
0.285 0.000 0.669
0.285 0.285 0.169
0.333 0.667 0.203
0.333 0.667 0.703
0.341 0.000 0.335
0.341 0.341 0.835
0.659 0.000 0.835
0.659 0.659 0.335
0.667 0.333 0.203
0.667 0.333 0.703
0.715 0.000 0.169
0.715 0.715 0.669
```

Computed properties:
space group	P6_3cm
total moment	0.0	μB per formula unit
crystal system	hexagonal
DOS at the Fermi energy	1.37	states/eV/f.u.
E_form	-62	meV/atom



Density functional theory data (PBE-GGA) for crystalline Ba2CdAu at its relaxed geometry.

```
Ba2CdAu
1.0
4.898 0.000 0.000
0.000 4.898 0.000
0.000 0.000 11.993
Ba Cd Au
4 2 2
direct
0.000 0.000 0.000
0.000 0.500 0.250
0.500 0.000 0.750
0.500 0.500 0.500
0.000 0.500 0.750
0.500 0.000 0.250
0.000 0.000 0.500
0.500 0.500 0.000
```

Computed properties:
space group	I-4m2
total moment	0.0	μB per formula unit
crystal system	tetragonal
DOS at the Fermi energy	3.26	states/eV/f.u.
E_form	-310	meV/atom



Density functional theory data (PBE-GGA) for crystalline LaCe2Mn at its relaxed geometry.

```
LaCe2Mn
1.0
3.661 0.000 0.000
-1.830 3.170 0.000
0.000 0.000 29.024
La Ce Mn
3 6 3
direct
0.000 0.000 0.000
0.333 0.667 0.667
0.667 0.333 0.333
0.000 0.000 0.114
0.000 0.000 0.886
0.333 0.667 0.553
0.333 0.667 0.780
0.667 0.333 0.220
0.667 0.333 0.447
0.000 0.000 0.500
0.333 0.667 0.167
0.667 0.333 0.833
```

Computed properties:
space group	R-3m
total moment	0.0	μB per formula unit
crystal system	trigonal
DOS at the Fermi energy	7.17	states/eV/f.u.
E_form	345	meV/atom



Density functional theory data (PBE-GGA) for crystalline Sc4CSe2 at its relaxed geometry.

```
Sc4CSe2
1.0
4.351 0.000 0.000
0.000 4.351 0.000
0.000 0.000 14.044
Sc C Se
8 2 4
direct
0.000 0.000 0.164
0.000 0.000 0.836
0.000 0.500 0.000
0.000 0.500 0.500
0.500 0.000 0.000
0.500 0.000 0.500
0.500 0.500 0.336
0.500 0.500 0.664
0.000 0.000 0.000
0.500 0.500 0.500
0.000 0.000 0.359
0.000 0.000 0.641
0.500 0.500 0.141
0.500 0.500 0.859
```

Computed properties:
space group	I4/mmm
uncorrected formation energy	-6.36	eV per formula unit
total moment	0.0	μB per formula unit
crystal system	tetragonal
DOS at the Fermi energy	8.13	states/eV/f.u.